Computed, not measured: crystalline Te2AuO4 at its relaxed geometry at the PBE-GGA level of DFT.

Mass density   7.44 g/cm³
Total energy   -4.472 eV per atom

Unit cell a=6.882 b=6.882 c=6.882 alpha=60.00 beta=60.00 gamma=60.00
Fractional positions:
Te 0.000 0.000 0.000
Te 0.000 0.000 0.500
Te 0.000 0.500 0.000
Te 0.500 0.000 0.000
Au 0.375 0.375 0.375
Au 0.625 0.625 0.625
O 0.196 0.768 0.768
O 0.232 0.232 0.232
O 0.232 0.232 0.804
O 0.232 0.804 0.232
O 0.768 0.196 0.768
O 0.768 0.768 0.196
O 0.768 0.768 0.768
O 0.804 0.232 0.232


Computed, not measured: crystalline KSmO3 at its relaxed geometry at the PBE-GGA level of DFT.

Mass density   4.40 g/cm³
Total energy   -5.900 eV per atom

Unit cell a=4.462 b=4.462 c=4.501 alpha=90.00 beta=90.00 gamma=90.00
Fractional positions:
K 0.000 0.000 0.000
Sm 0.500 0.500 0.527
O 0.000 0.500 0.566
O 0.500 0.000 0.566
O 0.500 0.500 0.029


Computed, not measured: crystalline CdCoSnS3 at its relaxed geometry at the PBE-GGA level of DFT.

Energy relative to the lowest polymorph listed for this composition   0.000 eV/atom
Mass density   5.18 g/cm³
Total energy   -4.370 eV per atom

Unit cell a=7.836 b=7.836 c=9.214 alpha=90.00 beta=90.00 gamma=154.03
Fractional positions:
Cd 0.189 0.811 0.750
Cd 0.811 0.189 0.250
Co 0.500 0.500 0.000
Co 0.500 0.500 0.500
Sn 0.155 0.845 0.250
Sn 0.845 0.155 0.750
S 0.095 0.905 0.522
S 0.095 0.905 0.978
S 0.469 0.531 0.750
S 0.531 0.469 0.250
S 0.905 0.095 0.022
S 0.905 0.095 0.478


Computed, not measured: crystalline YPu at its relaxed geometry at the PBE-GGA level of DFT.

Energy relative to the lowest polymorph listed for this composition   0.477 eV/atom
Mass density   8.87 g/cm³
E_form   600.4 meV/atom
Total energy   -9.696 eV per atom

Unit cell a=5.386 b=5.386 c=4.964 alpha=90.00 beta=90.00 gamma=120.00
Fractional positions:
Y 0.333 0.667 0.250
Y 0.667 0.333 0.750
Pu 0.000 0.000 0.000
Pu 0.000 0.000 0.500


Computed, not measured: crystalline KFeAgSe3 at its relaxed geometry at the PBE-GGA level of DFT.

Mass density   5.05 g/cm³
Total energy   -4.081 eV per atom

Unit cell a=7.739 b=7.739 c=10.323 alpha=90.00 beta=90.00 gamma=152.14
Fractional positions:
K 0.245 0.755 0.750
K 0.755 0.245 0.250
Fe 0.000 0.000 0.000
Fe 0.000 0.000 0.500
Ag 0.445 0.555 0.250
Ag 0.555 0.445 0.750
Se 0.069 0.931 0.250
Se 0.389 0.611 0.016
Se 0.389 0.611 0.484
Se 0.611 0.389 0.516
Se 0.611 0.389 0.984
Se 0.931 0.069 0.750


Computed, not measured: crystalline K2NdCdSb2 at its relaxed geometry at the PBE-GGA level of DFT.

Mass density   4.83 g/cm³
Total energy   -3.224 eV per atom

Unit cell a=4.690 b=9.911 c=8.552 alpha=90.00 beta=90.00 gamma=90.00
Fractional positions:
K 0.000 0.082 0.000
K 0.000 0.918 0.500
K 0.500 0.171 0.316
K 0.500 0.829 0.816
Nd 0.500 0.458 0.928
Nd 0.500 0.542 0.428
Cd 0.000 0.316 0.595
Cd 0.000 0.684 0.095
Sb 0.000 0.406 0.194
Sb 0.000 0.594 0.694
Sb 0.500 0.184 0.725
Sb 0.500 0.816 0.225


Computed, not measured: crystalline PmYTa at its relaxed geometry at the PBE-GGA level of DFT.

Mass density   7.50 g/cm³
E_form   1339.8 meV/atom
Total energy   -6.348 eV per atom

Unit cell a=5.065 b=5.065 c=5.065 alpha=60.00 beta=60.00 gamma=60.00
Fractional positions:
Pm 0.000 0.000 0.000
Y 0.250 0.250 0.250
Ta 0.500 0.500 0.500


Computed, not measured: crystalline TmAlPt at its relaxed geometry at the PBE-GGA level of DFT.

Mass density   10.57 g/cm³
Total energy   -5.732 eV per atom

Unit cell a=5.247 b=4.420 c=10.591 alpha=90.00 beta=90.00 gamma=90.00
Fractional positions:
Tm 0.147 0.250 0.129
Tm 0.353 0.750 0.629
Tm 0.647 0.250 0.371
Tm 0.853 0.750 0.871
Al 0.153 0.750 0.339
Al 0.347 0.250 0.839
Al 0.653 0.750 0.161
Al 0.847 0.250 0.661
Pt 0.152 0.250 0.452
Pt 0.348 0.750 0.952
Pt 0.652 0.250 0.048
Pt 0.848 0.750 0.548


Computed, not measured: crystalline ReBr at its relaxed geometry at the PBE-GGA level of DFT.

Energy relative to the lowest polymorph listed for this composition   0.445 eV/atom
Mass density   10.13 g/cm³
Total energy   -5.087 eV per atom

Unit cell a=3.952 b=3.952 c=3.952 alpha=60.00 beta=60.00 gamma=60.00
Fractional positions:
Re 0.000 0.000 0.000
Br 0.250 0.250 0.250


Computed, not measured: crystalline Dy2ErIn3Ni3 at its relaxed geometry at the PBE-GGA level of DFT.

Mass density   9.29 g/cm³
Total energy   -4.812 eV per atom

Unit cell a=3.793 b=7.423 c=7.423 alpha=120.00 beta=90.00 gamma=90.00
Fractional positions:
Dy 0.000 0.205 0.795
Dy 0.000 0.795 0.205
Er 0.000 0.384 0.384
In 0.500 0.050 0.050
In 0.500 0.540 0.794
In 0.500 0.794 0.540
Ni 0.000 0.794 0.794
Ni 0.500 0.129 0.461
Ni 0.500 0.461 0.129


Computed, not measured: crystalline Pm2PbF8 at its relaxed geometry at the PBE-GGA level of DFT.

Mass density   7.46 g/cm³
Total energy   -6.165 eV per atom

Unit cell a=7.391 b=7.391 c=5.705 alpha=110.44 beta=110.44 gamma=29.84
Fractional positions:
Pm 0.176 0.176 0.181
Pm 0.824 0.824 0.819
Pb 0.500 0.500 0.500
F 0.033 0.033 0.267
F 0.207 0.207 0.811
F 0.322 0.322 0.543
F 0.399 0.399 0.038
F 0.601 0.601 0.962
F 0.678 0.678 0.457
F 0.793 0.793 0.189
F 0.967 0.967 0.733


Computed, not measured: crystalline PaZnNO at its relaxed geometry at the PBE-GGA level of DFT.

Energy relative to the lowest polymorph listed for this composition   0.000 eV/atom
Mass density   9.97 g/cm³
Total energy   -6.939 eV per atom

Unit cell a=3.440 b=3.440 c=9.194 alpha=90.00 beta=90.00 gamma=90.00
Fractional positions:
Pa 0.250 0.250 0.169
Pa 0.750 0.750 0.831
Zn 0.250 0.750 0.500
Zn 0.750 0.250 0.500
N 0.250 0.250 0.757
N 0.750 0.750 0.243
O 0.250 0.750 0.000
O 0.750 0.250 0.000


Computed, not measured: crystalline LaNbPb2O6 at its relaxed geometry at the PBE-GGA level of DFT.

Mass density   8.00 g/cm³
Total energy   -7.373 eV per atom

Unit cell a=6.048 b=6.048 c=6.048 alpha=120.94 beta=120.94 gamma=88.38
Fractional positions:
La 0.000 0.000 0.000
Nb 0.500 0.500 0.000
Pb 0.250 0.750 0.500
Pb 0.750 0.250 0.500
O 0.198 0.348 0.546
O 0.268 0.268 0.000
O 0.348 0.802 0.150
O 0.652 0.198 0.850
O 0.732 0.732 0.000
O 0.802 0.652 0.454


Computed, not measured: crystalline RbAgSb at its relaxed geometry at the PBE-GGA level of DFT.

Energy relative to the lowest polymorph listed for this composition   0.584 eV/atom
Mass density   4.37 g/cm³
Total energy   -1.930 eV per atom

Unit cell a=5.532 b=5.532 c=5.532 alpha=60.00 beta=60.00 gamma=60.00
Fractional positions:
Rb 0.000 0.000 0.000
Ag 0.750 0.750 0.750
Sb 0.250 0.250 0.250


Computed, not measured: crystalline KPtPb at its relaxed geometry at the PBE-GGA level of DFT.

Mass density   7.90 g/cm³
Total energy   -3.881 eV per atom

Unit cell a=6.838 b=6.838 c=6.332 alpha=101.04 beta=101.04 gamma=39.79
Fractional positions:
K 0.131 0.131 0.353
K 0.869 0.869 0.647
Pt 0.204 0.204 0.903
Pt 0.796 0.796 0.097
Pb 0.412 0.412 0.167
Pb 0.588 0.588 0.833


Computed, not measured: crystalline Sm3Si2ClO8 at its relaxed geometry at the PBE-GGA level of DFT.

Mass density   5.65 g/cm³
Total energy   -7.928 eV per atom

Unit cell a=7.016 b=17.966 c=6.261 alpha=90.00 beta=90.00 gamma=90.00
Fractional positions:
Sm 0.024 0.092 0.126
Sm 0.024 0.408 0.126
Sm 0.194 0.750 0.385
Sm 0.306 0.250 0.885
Sm 0.476 0.592 0.626
Sm 0.476 0.908 0.626
Sm 0.524 0.092 0.374
Sm 0.524 0.408 0.374
Sm 0.694 0.750 0.115
Sm 0.806 0.250 0.615
Sm 0.976 0.592 0.874
Sm 0.976 0.908 0.874
Si 0.033 0.100 0.622
Si 0.033 0.400 0.622
Si 0.467 0.600 0.122
Si 0.467 0.900 0.122
Si 0.533 0.100 0.878
Si 0.533 0.400 0.878
Si 0.967 0.600 0.378
Si 0.967 0.900 0.378
Cl 0.056 0.250 0.242
Cl 0.444 0.750 0.742
Cl 0.556 0.250 0.258
Cl 0.944 0.750 0.758
O 0.017 0.030 0.786
O 0.017 0.470 0.786
O 0.044 0.175 0.779
O 0.044 0.325 0.779
O 0.155 0.619 0.530
O 0.155 0.881 0.530
O 0.205 0.095 0.450
O 0.205 0.405 0.450
O 0.295 0.595 0.950
O 0.295 0.905 0.950
O 0.345 0.119 0.030
O 0.345 0.381 0.030
O 0.456 0.675 0.279
O 0.456 0.825 0.279
O 0.483 0.530 0.286
O 0.483 0.970 0.286
O 0.517 0.030 0.714
O 0.517 0.470 0.714
O 0.544 0.175 0.721
O 0.544 0.325 0.721
O 0.655 0.619 0.970
O 0.655 0.881 0.970
O 0.705 0.095 0.050
O 0.705 0.405 0.050
O 0.795 0.595 0.550
O 0.795 0.905 0.550
O 0.845 0.119 0.470
O 0.845 0.381 0.470
O 0.956 0.675 0.221
O 0.956 0.825 0.221
O 0.983 0.530 0.214
O 0.983 0.970 0.214


Computed, not measured: crystalline HfZnNi2 at its relaxed geometry at the PBE-GGA level of DFT.

Mass density   10.28 g/cm³
E_form   -65.8 meV/atom
Total energy   -5.655 eV per atom

Unit cell a=4.391 b=4.391 c=6.988 alpha=90.00 beta=90.00 gamma=120.00
Fractional positions:
Hf 0.000 0.000 0.250
Hf 0.000 0.000 0.750
Zn 0.333 0.667 0.250
Zn 0.667 0.333 0.750
Ni 0.333 0.667 0.584
Ni 0.333 0.667 0.916
Ni 0.667 0.333 0.084
Ni 0.667 0.333 0.416


Computed, not measured: crystalline Nb2Mo4P3N3 at its relaxed geometry at the PBE-GGA level of DFT.

Mass density   7.67 g/cm³
Total energy   -9.152 eV per atom

Unit cell a=5.347 b=5.347 c=12.527 alpha=102.22 beta=102.22 gamma=61.46
Fractional positions:
Nb 0.032 0.865 0.614
Nb 0.135 0.968 0.886
Nb 0.865 0.032 0.114
Nb 0.968 0.135 0.386
Mo 0.228 0.371 0.102
Mo 0.326 0.452 0.405
Mo 0.371 0.228 0.602
Mo 0.452 0.326 0.905
Mo 0.548 0.674 0.095
Mo 0.629 0.772 0.398
Mo 0.674 0.548 0.595
Mo 0.772 0.629 0.898
P 0.072 0.285 0.750
P 0.285 0.072 0.250
P 0.431 0.569 0.750
P 0.569 0.431 0.250
P 0.715 0.928 0.750
P 0.928 0.715 0.250
N 0.000 0.500 0.500
N 0.150 0.689 0.000
N 0.311 0.850 0.500
N 0.500 0.000 0.000
N 0.689 0.150 0.500
N 0.850 0.311 0.000


Computed, not measured: crystalline HoTm2In3NiAg2 at its relaxed geometry at the PBE-GGA level of DFT.

Mass density   9.45 g/cm³
Total energy   -4.113 eV per atom

Unit cell a=3.803 b=7.742 c=7.742 alpha=120.12 beta=90.00 gamma=90.00
Fractional positions:
Ho 0.000 0.000 0.000
Tm 0.000 0.399 0.797
Tm 0.000 0.797 0.399
In 0.500 0.150 0.399
In 0.500 0.399 0.150
In 0.500 0.648 0.648
Ni 0.000 0.400 0.400
Ag 0.500 0.066 0.731
Ag 0.500 0.731 0.066


Computed, not measured: crystalline HoTaCu at its relaxed geometry at the PBE-GGA level of DFT.

Mass density   9.75 g/cm³
E_form   1470.4 meV/atom
Total energy   -5.245 eV per atom

Unit cell a=4.620 b=4.620 c=4.620 alpha=60.00 beta=60.00 gamma=60.00
Fractional positions:
Ho 0.000 0.000 0.000
Ta 0.250 0.250 0.250
Cu 0.750 0.750 0.750